This record from the Alexandria database describes Rb2Cd4InSn3 after structural relaxation. The functional is PBE.

Lattice parameters (Å, degrees): 4.9689 4.9689 12.5671 90.00 90.00 90.00
Last column: nearest neighbours and their distance in Å.
Positions (direct):
Sn 0.5000 0.0000 0.8696  5 Cd 2.90-2.98
Sn 0.0000 0.5000 0.1304  5 Cd 2.90-2.98
Sn 0.0000 0.0000 0.5000  4 Cd 3.04
Rb 0.0000 0.5000 0.7548  6 Sn 3.80-4.05, 8 Cd 3.80-3.96, 2 In 4.05
Rb 0.5000 0.0000 0.2452  6 Sn 3.80-4.05, 8 Cd 3.80-3.96, 2 In 4.05
Cd 0.5000 0.0000 0.6389  3 Sn 2.90-3.04, 2 In 3.04
Cd 0.0000 0.5000 0.3611  3 Sn 2.90-3.04, 2 In 3.04
Cd 0.5000 0.5000 0.0000  4 Sn 2.98
Cd 0.0000 0.0000 0.0000  4 Sn 2.98
In 0.5000 0.5000 0.5000  4 Cd 3.04

Its total magnetization is 0.0 μB per formula unit. For the formation energy, the calculation gives -126.0 meV per atom.

***

This record from the Alexandria database describes Nd2Zr2O7 after structural relaxation. The functional is PBE.

Lattice parameters (Å, degrees): 7.6338 7.6338 7.6338 60.00 60.00 60.00
Last column: nearest neighbours and their distance in Å.
Positions (direct):
Nd 0.1250 0.1250 0.6250  8 O 2.34-2.61
Nd 0.1250 0.1250 0.1250  8 O 2.34-2.61
Nd 0.6250 0.1250 0.1250  8 O 2.34-2.61
Nd 0.1250 0.6250 0.1250  8 O 2.34-2.61
O 0.9604 0.9604 0.5396  2 Zr 2.12
O 0.5396 0.9604 0.5396  2 Zr 2.12
O 0.2896 0.2896 0.7104  2 Zr 2.12
O 0.2896 0.7104 0.7104  2 Zr 2.12
O 0.9604 0.5396 0.5396  2 Zr 2.12
O 0.7104 0.2896 0.7104  2 Zr 2.12
O 0.0000 0.0000 0.0000  4 Nd 2.34
O 0.9604 0.5396 0.9604  2 Zr 2.12
O 0.2896 0.7104 0.2896  2 Zr 2.12
O 0.7104 0.7104 0.2896  2 Zr 2.12
O 0.5396 0.9604 0.9604  2 Zr 2.12
O 0.5396 0.5396 0.9604  2 Zr 2.12
O 0.2500 0.2500 0.2500  4 Nd 2.34
O 0.7104 0.2896 0.2896  2 Zr 2.12
Zr 0.6250 0.6250 0.6250  6 O 2.12
Zr 0.6250 0.1250 0.6250  6 O 2.12
Zr 0.1250 0.6250 0.6250  6 O 2.12
Zr 0.6250 0.6250 0.1250  6 O 2.12

The raw formation energy is -3398 meV per atom. Its total magnetization is 0.0 μB per formula unit.

***

This record from the Alexandria database describes In2TeIr after structural relaxation. The functional is PBE.

Lattice parameters (Å, degrees): 6.1393 6.1393 8.1897 67.99 67.99 90.00
Last column: nearest neighbours and their distance in Å.
Positions (direct):
In 0.3750 0.3184 0.7500  2 Ir 2.60
In 0.8750 0.9316 0.7500  2 Ir 2.60
In 0.0684 0.6250 0.2500  2 Ir 2.60
In 0.6816 0.1250 0.2500  2 Ir 2.60
Ir 0.7500 0.2500 0.5000  4 In 2.60
Ir 0.0000 0.0000 0.0000  4 In 2.60
Te 0.2500 0.7500 0.5000  4 In 2.99
Te 0.5000 0.5000 0.0000  4 In 2.99

The raw formation energy is 285 meV per atom. Its total magnetization is 0.0 μB per formula unit.

***

This record from the Alexandria database describes Sr2ZnBr after structural relaxation. The functional is PBE.

Lattice parameters (Å, degrees): 3.8654 3.8654 8.5464 90.00 90.00 90.00
Last column: nearest neighbours and their distance in Å.
Positions (direct):
Sr 0.0000 0.0000 0.7738  4 Zn 3.35, 4 Br 3.60
Sr 0.0000 0.0000 0.2262  4 Zn 3.35, 4 Br 3.60
Br 0.5000 0.5000 0.5000  8 Sr 3.60, 4 Br 3.87
Zn 0.5000 0.5000 0.0000  8 Sr 3.35

The raw formation energy is -760 meV per atom. Its total magnetization is 0.0 μB per formula unit. Its relative energy among the computed polymorphs is 56 meV per atom.

***

This record from the Alexandria database describes Ca2ZrAlS after structural relaxation. The functional is PBE.

Lattice parameters (Å, degrees): 5.8912 4.6052 5.8912 90.00 90.00 90.00
Last column: nearest neighbours and their distance in Å.
Positions (direct):
Ca 0.0000 0.0000 0.5000  2 Al 2.95
Ca 0.5000 0.0000 0.0000  2 Al 2.95
S 0.0000 0.5000 0.0000  2 Al 2.30
Zr 0.5000 0.5000 0.5000  8 Ca 3.74, 4 S 4.17
Al 0.0000 0.0000 0.0000  2 S 2.30

The raw formation energy is 558 meV per atom. Its total magnetization is 3.0 μB per formula unit.

***

This record from the Alexandria database describes Ce2Ge3Ir4Rh after structural relaxation. The functional is PBE.

Lattice parameters (Å, degrees): 4.1423 4.1423 10.7158 90.00 90.00 90.00
Last column: nearest neighbours and their distance in Å.
Positions (direct):
Ge 0.0000 0.5000 0.1279  5 Ir 2.43-2.48
Ge 0.5000 0.0000 0.8721  5 Ir 2.43-2.48
Ge 0.0000 0.0000 0.5000  4 Ir 2.59
Ir 0.5000 0.5000 0.0000  4 Ge 2.48
Ir 0.0000 0.5000 0.3543  3 Ge 2.43-2.59, 2 Rh 2.59
Ir 0.5000 0.0000 0.6457  3 Ge 2.43-2.59, 2 Rh 2.59
Ir 0.0000 0.0000 0.0000  4 Ge 2.48
Rh 0.5000 0.5000 0.5000  4 Ir 2.59
Ce 0.5000 0.0000 0.2532  8 Ir 3.12-3.41, 6 Ge 3.22-3.36, 2 Rh 3.36
Ce 0.0000 0.5000 0.7468  8 Ir 3.12-3.41, 6 Ge 3.22-3.36, 2 Rh 3.36

Its total magnetization is 0.6 μB per formula unit. For the formation energy, the calculation gives -677.2 meV per atom.